No. 1
This record from Alexandria describes LaCuTc2 after structural relaxation. The functional is GGA-PBE.

The structure in CIF format:
```
data_LaCuTc2
_chemical_formula_sum 'La1 Cu1 Tc2'
_space_group_name_H-M_alt 'P 1'
_space_group_IT_number 1
_cell_length_a 5.2724
_cell_length_b 5.2724
_cell_length_c 5.2724
_cell_angle_alpha 135.13
_cell_angle_beta 135.13
_cell_angle_gamma 65.33
loop_
_space_group_symop_operation_xyz
'x,y,z'
loop_
_atom_site_label
_atom_site_type_symbol
_atom_site_fract_x
_atom_site_fract_y
_atom_site_fract_z
La1 La 0.0000 0.0000 0.0000
Cu1 Cu 0.5000 0.5000 0.0000
Tc1 Tc 0.2500 0.7500 0.5000
Tc2 Tc 0.7500 0.2500 0.5000
```

Energy of formation from the pure elements (meV/atom): 608
Magnetization (μB per formula unit): 0.0
Symmetry: No. 139
Energy relative to the lowest polymorph listed for this composition (eV per atom): 0.553
Total DFT energy (no corrections) (eV for the cell shown): -27.324

---

No. 2
This record from Alexandria describes Tl2Co2Au after structural relaxation. The functional is GGA-PBE.

The structure in CIF format:
```
data_Tl2Co2Au
_chemical_formula_sum 'Tl4 Co4 Au2'
_space_group_name_H-M_alt 'P 1'
_space_group_IT_number 1
_cell_length_a 6.7065
_cell_length_b 6.7065
_cell_length_c 4.0310
_cell_angle_alpha 90.00
_cell_angle_beta 90.00
_cell_angle_gamma 90.00
loop_
_space_group_symop_operation_xyz
'x,y,z'
loop_
_atom_site_label
_atom_site_type_symbol
_atom_site_fract_x
_atom_site_fract_y
_atom_site_fract_z
Tl1 Tl 0.1751 0.3249 0.0000
Tl2 Tl 0.3249 0.8249 0.0000
Tl3 Tl 0.6751 0.1751 0.0000
Tl4 Tl 0.8249 0.6751 0.0000
Co1 Co 0.1223 0.6223 0.5000
Co2 Co 0.3777 0.1223 0.5000
Co3 Co 0.6223 0.8777 0.5000
Co4 Co 0.8777 0.3777 0.5000
Au1 Au 0.0000 0.0000 0.5000
Au2 Au 0.5000 0.5000 0.5000
```

Energy of formation from the pure elements (meV/atom): 375
Magnetization (μB per formula unit): 2.6
Symmetry: No. 127
Energy relative to the lowest polymorph listed for this composition (eV per atom): 0.000
Total DFT energy (no corrections) (eV for the cell shown): -40.693

---

No. 3
This record from Alexandria describes Tb2InTe after structural relaxation. The functional is GGA-PBE.

The structure in CIF format:
```
data_Tb2InTe
_chemical_formula_sum 'Tb2 In1 Te1'
_space_group_name_H-M_alt 'P 1'
_space_group_IT_number 1
_cell_length_a 8.2907
_cell_length_b 8.2907
_cell_length_c 8.2907
_cell_angle_alpha 29.13
_cell_angle_beta 29.13
_cell_angle_gamma 29.13
loop_
_space_group_symop_operation_xyz
'x,y,z'
loop_
_atom_site_label
_atom_site_type_symbol
_atom_site_fract_x
_atom_site_fract_y
_atom_site_fract_z
Tb1 Tb 0.2487 0.2487 0.2487
Tb2 Tb 0.7513 0.7513 0.7513
In1 In 0.0000 0.0000 0.0000
Te1 Te 0.5000 0.5000 0.5000
```

Magnetization (μB per formula unit): 0.0
Symmetry: No. 166
Energy relative to the lowest polymorph listed for this composition (eV per atom): 0.079
Total DFT energy (no corrections) (eV for the cell shown): -18.542

---

What is the energy relative to the lowest polymorph listed for this composition in the third record?
0.079 eV per atom